DFT (PBE-GGA) results for a geometry-optimized Er4TaN5 structure.

## Properties
For the total energy, the calculation gives -8.804 eV per atom. As for the spin magnetization: 0.000 μB per formula unit. Its formation energy from raw total energies is -1.63 eV/atom.

Cell: 5.791 5.791 5.791 Å, 99.72 99.72 131.47°
Atoms (fractional coordinates):
Er 0.099 0.299 0.398
Er 0.299 0.901 0.200
Er 0.701 0.099 0.800
Er 0.901 0.701 0.602
Ta 0.519 0.519 0.000
N 0.219 0.597 0.812
N 0.407 0.219 0.622
N 0.597 0.785 0.378
N 0.785 0.407 0.188
N 0.973 0.973 0.000



DFT (PBE-GGA) results for a geometry-optimized ErThTaN3 structure.

## Properties
For the total energy, the calculation gives -9.304 eV per atom. As for the spin magnetization: 0.000 μB per formula unit. Its formation energy from raw total energies is -1.17 eV/atom.

Cell: 7.105 3.481 9.177 Å, 90.00 99.08 90.00°
Atoms (fractional coordinates):
Er 0.161 0.250 0.119
Er 0.839 0.750 0.881
Th 0.350 0.750 0.841
Th 0.650 0.250 0.159
Ta 0.019 0.250 0.621
Ta 0.981 0.750 0.379
N 0.088 0.250 0.864
N 0.154 0.750 0.591
N 0.392 0.750 0.108
N 0.608 0.250 0.892
N 0.846 0.250 0.409
N 0.912 0.750 0.136



DFT (PBE-GGA) results for a geometry-optimized Er2TaTiN5 structure.

## Properties
For the total energy, the calculation gives -9.294 eV per atom. As for the spin magnetization: 0.000 μB per formula unit. Its formation energy from raw total energies is -1.46 eV/atom.

Cell: 6.782 6.782 10.246 Å, 90.00 90.00 152.23°
Atoms (fractional coordinates):
Er 0.103 0.897 0.500
Er 0.139 0.861 0.102
Er 0.861 0.139 0.602
Er 0.897 0.103 0.000
Ta 0.220 0.780 0.824
Ta 0.780 0.220 0.324
Ti 0.475 0.525 0.275
Ti 0.525 0.475 0.775
N 0.057 0.943 0.866
N 0.277 0.723 0.470
N 0.309 0.691 0.202
N 0.372 0.628 0.814
N 0.496 0.504 0.593
N 0.504 0.496 0.093
N 0.628 0.372 0.314
N 0.691 0.309 0.702
N 0.723 0.277 0.970
N 0.943 0.057 0.366



DFT (PBE-GGA) results for a geometry-optimized ErTm2TaN4 structure.

## Properties
For the total energy, the calculation gives -8.960 eV per atom. As for the spin magnetization: 0.000 μB per formula unit. Its formation energy from raw total energies is -1.63 eV/atom.

Cell: 5.740 3.303 5.745 Å, 90.00 109.16 90.00°
Atoms (fractional coordinates):
Er 0.000 0.000 0.000
Tm 0.500 0.000 0.500
Tm 0.500 0.500 0.000
Ta 0.000 0.500 0.500
N 0.234 0.000 0.732
N 0.239 0.500 0.263
N 0.761 0.500 0.737
N 0.766 0.000 0.268



DFT (PBE-GGA) results for a geometry-optimized Er2TmTaN4 structure.

## Properties
For the total energy, the calculation gives -8.966 eV per atom. As for the spin magnetization: 0.000 μB per formula unit. Its formation energy from raw total energies is -1.62 eV/atom.

Cell: 5.749 3.308 5.755 Å, 90.00 109.14 90.00°
Atoms (fractional coordinates):
Er 0.000 0.000 0.000
Er 0.500 0.500 0.000
Tm 0.000 0.500 0.500
Ta 0.500 0.000 0.500
N 0.262 0.000 0.736
N 0.268 0.500 0.269
N 0.732 0.500 0.731
N 0.738 0.000 0.264



DFT (PBE-GGA) results for a geometry-optimized YErTaN3 structure.

## Properties
For the total energy, the calculation gives -9.447 eV per atom. As for the spin magnetization: 0.000 μB per formula unit. Its formation energy from raw total energies is -1.47 eV/atom.

Cell: 5.735 3.319 8.588 Å, 90.00 103.03 90.00°
Atoms (fractional coordinates):
Y 0.157 0.250 0.187
Y 0.843 0.750 0.813
Er 0.270 0.750 0.546
Er 0.730 0.250 0.454
Ta 0.362 0.250 0.862
Ta 0.638 0.750 0.138
N 0.061 0.250 0.680
N 0.252 0.750 0.987
N 0.455 0.750 0.329
N 0.545 0.250 0.671
N 0.748 0.250 0.013
N 0.939 0.750 0.320



DFT (PBE-GGA) results for a geometry-optimized Y2ErTaN4 structure.

## Properties
For the total energy, the calculation gives -9.386 eV per atom. As for the spin magnetization: 0.000 μB per formula unit. Its formation energy from raw total energies is -1.56 eV/atom.

Cell: 5.799 3.338 5.813 Å, 90.00 109.08 90.00°
Atoms (fractional coordinates):
Y 0.000 0.000 0.000
Y 0.500 0.500 0.000
Er 0.000 0.500 0.500
Ta 0.500 0.000 0.500
N 0.263 0.000 0.732
N 0.272 0.500 0.274
N 0.728 0.500 0.726
N 0.737 0.000 0.268



DFT (PBE-GGA) results for a geometry-optimized YEr2TaN4 structure.

## Properties
For the total energy, the calculation gives -9.162 eV per atom. As for the spin magnetization: 0.000 μB per formula unit. Its formation energy from raw total energies is -1.57 eV/atom.

Cell: 5.780 3.327 5.791 Å, 90.00 109.14 90.00°
Atoms (fractional coordinates):
Y 0.000 0.000 0.000
Er 0.500 0.000 0.500
Er 0.500 0.500 0.000
Ta 0.000 0.500 0.500
N 0.232 0.000 0.729
N 0.239 0.500 0.267
N 0.761 0.500 0.733
N 0.768 0.000 0.271



DFT (PBE-GGA) results for a geometry-optimized Er2Zr3TaN6 structure.

## Properties
For the total energy, the calculation gives -9.645 eV per atom. As for the spin magnetization: 0.000 μB per formula unit. Its formation energy from raw total energies is -1.60 eV/atom.

Cell: 5.676 5.676 5.688 Å, 99.55 99.55 119.96°
Atoms (fractional coordinates):
Er 0.166 0.834 0.000
Er 0.834 0.166 0.000
Zr 0.000 0.000 0.500
Zr 0.332 0.668 0.500
Zr 0.668 0.332 0.500
Ta 0.500 0.500 0.000
N 0.096 0.418 0.752
N 0.262 0.262 0.256
N 0.418 0.096 0.752
N 0.582 0.904 0.248
N 0.738 0.738 0.744
N 0.904 0.582 0.248



DFT (PBE-GGA) results for a geometry-optimized Tb3ErN4 structure.

## Properties
For the total energy, the calculation gives -8.159 eV per atom. As for the spin magnetization: 0.000 μB per formula unit. Its formation energy from raw total energies is -1.69 eV/atom.

Cell: 6.028 6.964 6.027 Å, 90.00 109.46 90.00°
Atoms (fractional coordinates):
Tb 0.000 0.124 0.250
Tb 0.000 0.374 0.750
Tb 0.000 0.626 0.250
Tb 0.000 0.876 0.750
Tb 0.500 0.374 0.250
Tb 0.500 0.626 0.750
Er 0.500 0.124 0.750
Er 0.500 0.876 0.250
N 0.251 0.373 0.502
N 0.251 0.627 0.002
N 0.253 0.123 0.999
N 0.253 0.877 0.499
N 0.747 0.123 0.501
N 0.747 0.877 0.001
N 0.749 0.373 0.998
N 0.749 0.627 0.498



DFT (PBE-GGA) results for a geometry-optimized TbEr2N structure.

## Properties
For the total energy, the calculation gives -5.732 eV per atom. As for the spin magnetization: 0.001 μB per formula unit. Its formation energy from raw total energies is -0.21 eV/atom.

Cell: 3.152 3.152 8.679 Å, 90.00 90.00 90.00°
Atoms (fractional coordinates):
Tb 0.000 0.000 0.000
Er 0.500 0.500 0.339
Er 0.500 0.500 0.661
N 0.000 0.000 0.500



DFT (PBE-GGA) results for a geometry-optimized TbEr4N5 structure.

## Properties
For the total energy, the calculation gives -8.207 eV per atom. As for the spin magnetization: 0.000 μB per formula unit. Its formation energy from raw total energies is -1.76 eV/atom.

Cell: 12.410 12.410 12.410 Å, 164.05 164.05 22.63°
Atoms (fractional coordinates):
Tb 0.000 0.000 0.000
Er 0.200 0.200 0.000
Er 0.399 0.399 0.000
Er 0.601 0.601 0.000
Er 0.800 0.800 0.000
N 0.101 0.101 0.000
N 0.300 0.300 0.000
N 0.500 0.500 0.000
N 0.700 0.700 0.000
N 0.899 0.899 0.000



Question: spin magnetization of number 3 (Er2TaTiN5)?
Answer: 0.000 μB per formula unit



Question: Among the records above, which one has the lowest formation energy from raw total energies?
Answer: TbEr4N5